## YFeAu2 (PBE-GGA)

Data for a relaxed structure of YFeAu2.

Calculated values
* space group: Immm, No. 71
* energy relative to the elements: -26 kJ per mole of atoms

a = 5.079 Å, b = 5.079 Å, c = 5.079 Å
α = 131.03°, β = 126.26°, γ = 75.64°
Each line ends with the local moment (μB).
Element x y z (fractional)
Au 0.983 0.983 0.000  0.00
Au 0.517 0.517 0.000  0.00
Fe 0.750 0.250 0.500  2.80
Y 0.250 0.750 0.500  -0.15